VASP calculation (PBE-GGA) on a relaxed structure of Ac2MnNbN5.

a b c (Å): 3.423 7.529 10.712
angles (deg): 90.00 90.00 103.14
Each line ends with the local moment (μB).
Atoms (fractional coordinates):
Ac 0.868 0.737 0.824  0.02
Ac 0.119 0.238 0.690  0.04
Ac 0.132 0.263 0.324  0.02
Ac 0.881 0.762 0.190  0.04
Mn 0.555 0.110 0.940  2.05
Mn 0.445 0.890 0.440  2.05
Nb 0.796 0.592 0.526  -0.02
Nb 0.204 0.408 0.026  -0.02
N 0.333 0.667 0.008  0.01
N 0.676 0.353 0.886  0.01
N 0.501 0.002 0.792  0.04
N 0.300 0.600 0.652  0.02
N 0.961 0.922 0.506  -0.04
N 0.667 0.333 0.508  0.01
N 0.324 0.647 0.386  0.01
N 0.499 0.998 0.292  0.04
N 0.700 0.400 0.152  0.02
N 0.039 0.078 0.006  -0.04

M_tot (Bohr magnetons per cell): 4.68
VASP energy (eV per atom): -8.57
Fermi-level density of states (states/eV/cell): 3.4

---

VASP calculation (PBE-GGA) on a relaxed structure of Ac3NdMn2N6.

a b c (Å): 6.033 6.033 7.008
angles (deg): 90.00 90.00 120.00
Each line ends with the local moment (μB).
Atoms (fractional coordinates):
Ac 0.333 0.667 0.678  0.04
Ac 0.667 0.333 0.322  0.04
Ac 0.000 0.000 0.000  0.04
Nd 0.000 0.000 0.500  0.10
Mn 0.667 0.333 0.797  1.68
Mn 0.333 0.667 0.203  1.68
N 0.649 0.825 0.281  -0.01
N 0.175 0.351 0.281  -0.01
N 0.175 0.825 0.281  -0.01
N 0.825 0.649 0.719  -0.01
N 0.351 0.175 0.719  -0.01
N 0.825 0.175 0.719  -0.01

M_tot (Bohr magnetons per cell): 3.98
VASP energy (eV per atom): -7.93
Fermi-level density of states (states/eV/cell): 2.3

---

VASP calculation (PBE-GGA) on a relaxed structure of Ac2NdMnN4.

a b c (Å): 3.718 6.953 12.570
angles (deg): 90.00 90.00 105.51
Each line ends with the local moment (μB).
Atoms (fractional coordinates):
Ac 0.373 0.747 0.542  0.04
Ac 0.627 0.253 0.042  0.04
Ac 0.627 0.253 0.458  0.04
Ac 0.373 0.747 0.958  0.04
Nd 0.150 0.300 0.750  0.02
Nd 0.850 0.700 0.250  0.02
Mn 0.812 0.624 0.750  2.47
Mn 0.188 0.376 0.250  2.47
N 0.278 0.557 0.135  0.03
N 0.722 0.443 0.635  0.03
N 0.722 0.443 0.865  0.03
N 0.278 0.557 0.365  0.03
N 0.000 0.000 0.500  0.02
N 0.000 0.000 0.000  0.02
N 0.353 0.706 0.750  -0.02
N 0.647 0.294 0.250  -0.02

M_tot (Bohr magnetons per cell): 6.05
VASP energy (eV per atom): -7.72
Fermi-level density of states (states/eV/cell): 6.3

---

VASP calculation (PBE-GGA) on a relaxed structure of Ac2NpMnN5.

a b c (Å): 3.582 7.451 10.894
angles (deg): 90.00 90.00 103.91
Each line ends with the local moment (μB).
Atoms (fractional coordinates):
Ac 0.867 0.734 0.830  0.04
Ac 0.110 0.220 0.682  0.04
Ac 0.133 0.266 0.330  0.04
Ac 0.890 0.780 0.182  0.04
Np 0.806 0.613 0.526  1.81
Np 0.194 0.387 0.026  1.81
Mn 0.546 0.092 0.938  1.96
Mn 0.454 0.908 0.438  1.96
N 0.337 0.674 0.011  -0.06
N 0.676 0.352 0.898  -0.08
N 0.496 0.992 0.787  0.04
N 0.293 0.587 0.652  -0.08
N 0.964 0.928 0.500  -0.07
N 0.663 0.326 0.511  -0.06
N 0.324 0.648 0.398  -0.08
N 0.504 0.008 0.287  0.04
N 0.707 0.413 0.152  -0.08
N 0.036 0.072 0.000  -0.07

M_tot (Bohr magnetons per cell): 7.60
VASP energy (eV per atom): -8.93
Fermi-level density of states (states/eV/cell): 12.2